Entry 1:
# TbMg5Sc2 GGA-PBE optimized geometry
data_TbMg5Sc2
_symmetry_space_group_name_H-M 'I 4/m m m'
_symmetry_Int_Tables_number 139
_symmetry_space_group_name_Hall '-I 4 2'
_cell_length_a 5.137
_cell_length_b 5.137
_cell_length_c 14.551
_cell_angle_alpha 90.00
_cell_angle_beta 90.00
_cell_angle_gamma 90.00
loop_
_atom_site_label
_atom_site_type_symbol
_atom_site_fract_x
_atom_site_fract_y
_atom_site_fract_z
Tb1 Tb 0.000 0.000 0.000
Mg1 Mg 0.000 0.000 0.500
Mg2 Mg 0.000 0.500 0.129
Sc1 Sc 0.000 0.000 0.255
# ΔE to the lowest computed polymorph: 0 meV/atom
# crystal system: tetragonal

***

Entry 2:
# Pm3OsPb GGA-PBE optimized geometry
data_Pm3OsPb
_symmetry_space_group_name_H-M 'P m -3 m'
_symmetry_Int_Tables_number 221
_symmetry_space_group_name_Hall '-P 4 2 3'
_cell_length_a 5.480
_cell_length_b 5.480
_cell_length_c 5.480
_cell_angle_alpha 90.00
_cell_angle_beta 90.00
_cell_angle_gamma 90.00
loop_
_atom_site_label
_atom_site_type_symbol
_atom_site_fract_x
_atom_site_fract_y
_atom_site_fract_z
Pm1 Pm 0.000 0.000 0.500
Os1 Os 0.000 0.000 0.000
Pb1 Pb 0.500 0.500 0.500
# total energy: -29.7 eV for the cell shown
# crystal system: cubic

***

Entry 3:
# EuMgNiRh GGA-PBE optimized geometry
data_EuMgNiRh
_symmetry_space_group_name_H-M 'F -4 3 m'
_symmetry_Int_Tables_number 216
_symmetry_space_group_name_Hall 'F -4 2 3'
_cell_length_a 6.636
_cell_length_b 6.636
_cell_length_c 6.636
_cell_angle_alpha 90.00
_cell_angle_beta 90.00
_cell_angle_gamma 90.00
loop_
_atom_site_label
_atom_site_type_symbol
_atom_site_fract_x
_atom_site_fract_y
_atom_site_fract_z
Eu1 Eu 0.000 0.000 0.000
Mg1 Mg 0.000 0.000 0.500
Ni1 Ni 0.250 0.250 0.250
Rh1 Rh 0.250 0.250 0.750
# total energy: -102.6 eV for the cell shown
# crystal system: cubic

***

Entry 4:
# SnGe2Se4 GGA-PBE optimized geometry
data_SnGe2Se4
_symmetry_space_group_name_H-M 'I 4/m'
_symmetry_Int_Tables_number 87
_symmetry_space_group_name_Hall '-I 4'
_cell_length_a 7.843
_cell_length_b 7.843
_cell_length_c 6.424
_cell_angle_alpha 90.00
_cell_angle_beta 90.00
_cell_angle_gamma 90.00
loop_
_atom_site_label
_atom_site_type_symbol
_atom_site_fract_x
_atom_site_fract_y
_atom_site_fract_z
Sn1 Sn 0.000 0.000 0.000
Ge1 Ge 0.000 0.500 0.250
Se1 Se 0.163 0.312 0.500
# energy relative to the elements, uncorrected: -13.7 kJ per mole of atoms
# crystal system: tetragonal

***

Entry 5:
# BiOs GGA-PBE optimized geometry
data_BiOs
_symmetry_space_group_name_H-M 'P m -3 n'
_symmetry_Int_Tables_number 223
_symmetry_space_group_name_Hall '-P 4n 2 3'
_cell_length_a 7.528
_cell_length_b 7.528
_cell_length_c 7.528
_cell_angle_alpha 90.00
_cell_angle_beta 90.00
_cell_angle_gamma 90.00
loop_
_atom_site_label
_atom_site_type_symbol
_atom_site_fract_x
_atom_site_fract_y
_atom_site_fract_z
Bi1 Bi 0.000 0.250 0.500
Os1 Os 0.000 0.500 0.250
# ΔE to the lowest computed polymorph: 940 meV/atom
# crystal system: cubic

***

Entry 6:
# Mg2CdW2 GGA-PBE optimized geometry
data_Mg2CdW2
_symmetry_space_group_name_H-M 'P 4/m b m'
_symmetry_Int_Tables_number 127
_symmetry_space_group_name_Hall '-P 4 2ab'
_cell_length_a 7.873
_cell_length_b 7.873
_cell_length_c 3.141
_cell_angle_alpha 90.00
_cell_angle_beta 90.00
_cell_angle_gamma 90.00
loop_
_atom_site_label
_atom_site_type_symbol
_atom_site_fract_x
_atom_site_fract_y
_atom_site_fract_z
Mg1 Mg 0.187 0.313 0.000
Cd1 Cd 0.000 0.000 0.500
W1 W 0.106 0.606 0.500
# ΔE to the lowest computed polymorph: 0 meV/atom
# crystal system: tetragonal

***

Entry 7:
# VAgHg3 GGA-PBE optimized geometry
data_VAgHg3
_symmetry_space_group_name_H-M 'P m -3 m'
_symmetry_Int_Tables_number 221
_symmetry_space_group_name_Hall '-P 4 2 3'
_cell_length_a 5.312
_cell_length_b 5.312
_cell_length_c 5.312
_cell_angle_alpha 90.00
_cell_angle_beta 90.00
_cell_angle_gamma 90.00
loop_
_atom_site_label
_atom_site_type_symbol
_atom_site_fract_x
_atom_site_fract_y
_atom_site_fract_z
V1 V 0.000 0.000 0.000
Ag1 Ag 0.500 0.500 0.500
Hg1 Hg 0.000 0.000 0.500
# ΔE to the lowest computed polymorph: 0 meV/atom
# crystal system: cubic

***

Entry 8:
# Pa2TaPb GGA-PBE optimized geometry
data_Pa2TaPb
_symmetry_space_group_name_H-M 'P 4/m m m'
_symmetry_Int_Tables_number 123
_symmetry_space_group_name_Hall '-P 4 2'
_cell_length_a 3.173
_cell_length_b 3.173
_cell_length_c 9.740
_cell_angle_alpha 90.00
_cell_angle_beta 90.00
_cell_angle_gamma 90.00
loop_
_atom_site_label
_atom_site_type_symbol
_atom_site_fract_x
_atom_site_fract_y
_atom_site_fract_z
Pa1 Pa 0.000 0.000 0.226
Ta1 Ta 0.500 0.500 0.000
Pb1 Pb 0.500 0.500 0.500
# ΔE to the lowest computed polymorph: 0 meV/atom
# crystal system: tetragonal

***

Here are the calculated DOS at the Fermi energy numbers, same order: 0.7730; 0.6536; 2.4608; 0.3176; 1.0383; 0.7466; 0.6319; 1.9374 (states/eV per atom).